{"formula": "Co2PtW", "functional": "PBE", "state": "optimized geometry", "relative_energy_ev_per_atom": 0.112, "ef_mev_per_atom": -9.1, "crystal_system": "monoclinic", "cell": [[4.629, 0.000, 0.006], [3.839, 2.587, 0.006], [0.825, 0.252, 4.452]], "species": ["Pt", "Co", "W", "Co"], "fractional_positions": [[0.497, 0.497, 0.505], [0.744, 0.744, 0.766], [0.253, 0.253, 0.238], [0.005, 0.005, 0.990]]}